Density functional theory data (PBE) for an optimized crystal structure of BTePF2.

abc: 4.3014 4.3014 5.3321
angles: 90.00 90.00 90.00
Fractional coordinates of all 5 atoms:
B1 0.0000 0.0000 0.0000
Te1 0.5000 0.5000 0.5000
P1 0.5000 0.5000 0.0000
F1 0.0000 0.5000 0.5000
F2 0.5000 0.0000 0.5000

Computed properties:
- DOS(E_F) (states/eV per atom) = 0.43
- formation energy from raw total energies (eV per atom) = 0.315

***

Density functional theory data (PBE) for an optimized crystal structure of Hf2BeP.

abc: 6.8810 6.8810 5.8211
angles: 90.00 90.00 90.00
Fractional coordinates of all 16 atoms:
Hf1 0.2498 0.2500 0.1250
Hf2 0.2502 0.2500 0.6250
Hf3 0.2500 0.7498 0.3750
Hf4 0.2500 0.7502 0.8750
Hf5 0.7500 0.2502 0.3750
Hf6 0.7500 0.2498 0.8750
Hf7 0.7502 0.7500 0.1250
Hf8 0.7498 0.7500 0.6250
Be1 0.0000 0.0000 0.0000
Be2 0.0000 0.5000 0.2500
Be3 0.5000 0.0000 0.7500
Be4 0.5000 0.5000 0.5000
P1 0.0000 0.0000 0.5000
P2 0.0000 0.5000 0.7500
P3 0.5000 0.0000 0.2500
P4 0.5000 0.5000 0.0000

Computed properties:
- DOS(E_F) (states/eV per atom) = 0.59
- E_form (eV/atom) = -0.242